Version P
VASP calculation (GGA-PBE) on a relaxed structure of Gd2ScAu.

abc: 4.064 4.992 4.992
angles: 90.00 90.00 90.00
Each line ends with the local moment (μB).
Fractional coordinates of all 4 atoms:
Sc1 0.500 0.500 0.500  0.37
Gd1 0.000 0.000 0.500  7.23
Gd2 0.000 0.500 0.000  7.23
Au1 0.500 0.000 0.000  0.02

M_tot   3.851 μB per atom
Space-group type   P4/mmm, No. 123

***

Version Q
VASP calculation (GGA-PBE) on a relaxed structure of Gd2ScAu.

abc: 3.409 3.409 11.292
angles: 81.32 81.32 60.00
Each line ends with the local moment (μB).
Fractional coordinates of all 4 atoms:
Au1 0.000 0.000 0.000  0.01
Sc1 0.500 0.500 0.500  -0.05
Gd1 0.914 0.914 0.257  7.16
Gd2 0.086 0.086 0.743  7.16

M_tot   3.657 μB per atom
Space-group type   R-3m, No. 166

***

Version R
VASP calculation (GGA-PBE) on a relaxed structure of Gd2ScAu.

abc: 3.699 3.699 7.639
angles: 90.00 90.00 90.00
Each line ends with the local moment (μB).
Fractional coordinates of all 4 atoms:
Au1 0.500 0.500 0.000  0.00
Sc1 0.500 0.500 0.500  -0.22
Gd1 0.000 0.000 0.772  -7.12
Gd2 0.000 0.000 0.228  -7.12

M_tot   3.743 μB per atom
Space-group type   P4/mmm, No. 123

***

It turns out version R is the most stable, with the second structure 7.4 kJ/mol of atoms higher.

***

Version P
VASP calculation (GGA-PBE) on a relaxed structure of GdScAu.

abc: 3.826 4.744 4.744
angles: 120.00 90.00 90.00
Each line ends with the local moment (μB).
Fractional coordinates of all 3 atoms:
Gd1 0.686 0.667 0.333  7.05
Sc1 0.196 0.333 0.667  -0.01
Au1 0.118 0.000 0.000  0.00

M_tot   2.411 μB per atom
Space-group type   P3m1, No. 156

***

Version Q
VASP calculation (GGA-PBE) on a relaxed structure of GdScAu.

abc: 3.506 3.506 6.396
angles: 105.91 105.91 90.00
Each line ends with the local moment (μB).
Fractional coordinates of all 3 atoms:
Sc1 0.310 0.310 0.621  0.31
Au1 0.934 0.934 0.867  0.02
Gd1 0.606 0.606 0.212  7.39

M_tot   2.783 μB per atom
Space-group type   I4mm, No. 107

***

It turns out version Q is the most stable, with the second structure 9.3 kJ/mol of atoms higher.